Entry 1:
VASP calculation (PBE) on an optimized crystal structure of Sr2SnHgSe5.

abc: 9.641 9.641 12.853
angles: 90.00 90.00 154.98
Fractional coordinates of all 18 atoms:
Sr  0.108  0.892  0.500
Sr  0.126  0.874  0.124
Sr  0.874  0.126  0.624
Sr  0.892  0.108  0.000
Sn  0.221  0.779  0.833
Sn  0.779  0.221  0.333
Hg  0.454  0.546  0.261
Hg  0.546  0.454  0.761
Se  0.077  0.923  0.878
Se  0.273  0.727  0.483
Se  0.291  0.709  0.186
Se  0.364  0.636  0.817
Se  0.496  0.504  0.576
Se  0.504  0.496  0.076
Se  0.636  0.364  0.317
Se  0.709  0.291  0.686
Se  0.727  0.273  0.983
Se  0.923  0.077  0.378

Spin magnetization: 0.0 μB per formula unit
Formation energy from raw total energies: -1035.1 meV/atom

Entry 2:
VASP calculation (PBE) on an optimized crystal structure of BaZrCr2.

abc: 5.325 5.325 3.409
angles: 90.00 90.00 90.16
Fractional coordinates of all 4 atoms:
Ba  0.000  0.000  0.000
Zr  0.500  0.500  0.000
Cr  0.000  0.500  0.500
Cr  0.500  0.000  0.500

Spin magnetization: 6.7 μB per formula unit
Energy above the most stable polymorph in this dataset: 136 kJ/mol of formula units
Formation energy: 3.68 eV per formula unit

| no. | density of states at the Fermi level (states/eV/f.u.) | calculated density (g cm⁻³) | total DFT energy (no corrections) (hartree per atom) |
| --- | --- | --- | --- |
| 1 | 0.94 | 5.846 | -0.140 |
| 2 | 4.02 | 5.713 | -0.239 |